(1)
The following is a DFT calculation (PBE-GGA) of a relaxed CdAu3 crystal.

Cell lengths 9.488, 9.488, 9.488 Å; angles 18.52, 18.52, 18.52 degrees
Element x y z (fractional)
Cd: 0.000 0.000 0.000
Au: 0.250 0.250 0.250
Au: 0.500 0.500 0.500
Au: 0.750 0.750 0.750



(2)
The following is a DFT calculation (PBE-GGA) of a relaxed Cd4Au crystal.

Cell lengths 5.830, 5.954, 6.731 Å; angles 90.00, 97.21, 90.00 degrees
Element x y z (fractional)
Cd: 0.208 0.092 0.406
Cd: 0.208 0.908 0.906
Cd: 0.236 0.404 0.047
Cd: 0.236 0.596 0.547
Cd: 0.764 0.404 0.453
Cd: 0.764 0.596 0.953
Cd: 0.792 0.092 0.094
Cd: 0.792 0.908 0.594
Au: 0.500 0.239 0.750
Au: 0.500 0.761 0.250



Volume (computed, Å³ per cell): 75.3; 231.8
Uncorrected energy (computed, eV/cell): -10.91; -14.47